VASP calculation (PBE-GGA) on an optimized crystal structure of AcNd5Sm2Dy.

a b c (Å): 9.0694 9.0694 15.7580
angles (deg): 90.00 90.00 90.00
Space group I4/mcm (No. 140)
Unique sites:
Ac1 0.0000 0.0000 0.2500 [4 per cell]
Nd1 0.0000 0.0000 0.0000 [4 per cell]
Nd2 0.2033 0.2967 0.1324 [16 per cell]
Sm1 0.1155 0.3845 0.5000 [8 per cell]
Dy1 0.0000 0.5000 0.2500 [4 per cell]

Output
Uncorrected energy (eV/atom): -4.404
E_form (eV/atom): 0.26